{"formula": "LiSc2Br", "functional": "PBE-GGA", "state": "optimized geometry", "raw_formation_energy_ev_per_atom": 0.01, "space_group": "Fm-3m, No. 225", "e_above_lowest_polymorph_mev_per_atom": 436, "m_tot_mub_per_fu": 0.01, "lattice_angstrom": [[0.000, 3.484, 3.484], [3.484, 0.000, 3.484], [3.484, 3.484, 0.000]], "species": ["Br", "Sc", "Sc", "Li"], "fractional_positions": [[0.500, 0.500, 0.500], [0.250, 0.250, 0.250], [0.750, 0.750, 0.750], [0.000, 0.000, 0.000]]}